# 1
Material: Cs3CrNi
Method: DFT, GGA-PBE
State: relaxed

The structure belongs to space group Pm-3m (No. 221); the cell edges are 6.537, 6.537 and 6.537 Å and the angles 90.00°, 90.00° and 90.00°. The distinct sites, in fractional coordinates, are Cs at (0.000, 0.000, 0.500), Cr at (0.500, 0.500, 0.500) and Ni at (0.000, 0.000, 0.000).

The value obtained for the density of states at the Fermi level is 1.21 states/eV per cell. As for the formation energy: 4.7 eV per formula unit. The energy comes out at -2.659 eV/atom.

=====

# 2
Material: Ba6Na2IrI
Method: DFT, GGA-PBE
State: relaxed

The structure belongs to space group P2_1/c (No. 14); the cell edges are 8.403, 9.735 and 14.909 Å and the angles 90.00°, 121.25° and 90.00°. The distinct sites, in fractional coordinates, are Ba at (0.109, 0.032, 0.231), Ba at (0.200, 0.720, 0.053), Ba at (0.355, 0.159, 0.044), Na at (0.307, 0.098, 0.742), Ir at (0.000, 0.000, 0.000) and I at (0.500, 0.000, 0.500).

The value obtained for the uncorrected formation energy is -0.33 eV/atom. The value obtained for the density of states at the Fermi level is 14.05 states/eV per cell. The energy comes out at -2.786 eV/atom.